[1]
Here is TcAg2Mo after structural relaxation from Alexandria. Energies are from GGA-PBE.

The total energy comes out at -6.417 eV/atom. The calculation puts the distance to the lowest polymorph of the same formula at 19 meV per atom. For the formation energy, the calculation gives 0.3077 eV/atom. As for the space group: R3m (160).

Cell lengths 9.560, 9.560, 9.560 Å; angles 17.18, 17.18, 17.18 degrees
Sites, in units of the cell vectors:
Tc  0.000  0.000  0.000
Ag  0.507  0.507  0.507
Ag  0.753  0.753  0.753
Mo  0.261  0.261  0.261



[2]
Here is TcAg2Mo after structural relaxation from Alexandria. Energies are from GGA-PBE.

The total energy comes out at -6.337 eV/atom. The calculation puts the distance to the lowest polymorph of the same formula at 100 meV per atom. For the formation energy, the calculation gives 0.3881 eV/atom. As for the space group: Pm (6).

Cell lengths 2.784, 4.053, 5.924 Å; angles 90.00, 94.29, 90.00 degrees
Sites, in units of the cell vectors:
Tc  0.000  0.000  0.000
Ag  0.093  0.000  0.521
Ag  0.556  0.500  0.278
Mo  0.659  0.500  0.801



[3]
Here is TcAgMo after structural relaxation from Alexandria. Energies are from GGA-PBE.

The total energy comes out at -7.545 eV/atom. The calculation puts the distance to the lowest polymorph of the same formula at 97 meV per atom. For the formation energy, the calculation gives 0.4706 eV/atom. As for the space group: I4mm (107).

Cell lengths 6.476, 6.476, 6.476 Å; angles 154.99, 154.99, 35.67 degrees
Sites, in units of the cell vectors:
Tc  0.000  0.000  0.000
Ag  0.325  0.325  0.000
Mo  0.645  0.645  0.000